1.
Material: SiRuNF2
Method: DFT, PBE
State: relaxed

Summary:
Formation energy without anion corrections = -0.07 eV/atom
Total DFT energy (no corrections) = -5.424 eV per atom
Distance to the lowest polymorph of the same formula = 235 meV per atom
Volume = 68.3 Å³ per cell
DOS at the Fermi energy = 3.02 states/eV per cell

Cell lengths 4.275, 4.275, 3.737 Å; angles 90.00, 90.00, 90.00 degrees
Space group P4/mmm (No. 123)
One atom of each set of equivalent atoms:
Si 0.000 0.000 0.000 x1
Ru 0.500 0.500 0.500 x1
N 0.500 0.500 0.000 x1
F 0.000 0.500 0.500 x2

2.
Material: CeThOs2
Method: DFT, PBE
State: relaxed

Summary:
Total DFT energy (no corrections) = -8.849 eV per atom
Distance to the lowest polymorph of the same formula = 203 meV per atom
Volume = 282.0 Å³ per cell
ΔH_f (0 K) = 0.104 eV/atom
DOS at the Fermi energy = 12.79 states/eV per cell

Cell lengths 4.0843, 4.0843, 19.5199 Å; angles 90.00, 90.00, 120.00 degrees
Space group R-3m (No. 166, hexagonal axes)
One atom of each set of equivalent atoms:
Ce 0.0000 0.0000 0.0000 x3
Th 0.0000 0.0000 0.5000 x3
Os 0.0000 0.0000 0.2538 x6

3.
Material: HfBeVTc
Method: DFT, PBE
State: relaxed

Summary:
Total DFT energy (no corrections) = -8.391 eV per atom
Volume = 236.0 Å³ per cell
ΔH_f (0 K) = -0.100 eV/atom
DOS at the Fermi energy = 6.18 states/eV per cell

Cell lengths 6.179, 6.179, 6.179 Å; angles 90.00, 90.00, 90.00 degrees
Space group F-43m (No. 216)
One atom of each set of equivalent atoms:
Hf 0.000 0.000 0.000 x4
Be 0.250 0.250 0.750 x4
V 0.000 0.000 0.500 x4
Tc 0.250 0.250 0.250 x4

4.
Material: Tb2SmIr
Method: DFT, PBE
State: relaxed

Summary:
Total DFT energy (no corrections) = -6.214 eV per atom
Distance to the lowest polymorph of the same formula = 37 meV per atom
Volume = 440.6 Å³ per cell
ΔH_f (0 K) = -0.504 eV/atom
DOS at the Fermi energy = 20.32 states/eV per cell

Cell lengths 3.881, 12.180, 9.321 Å; angles 90.00, 90.00, 90.00 degrees
Space group Cmcm (No. 63)
One atom of each set of equivalent atoms:
Tb 0.000 0.142 0.067 x8
Sm 0.000 0.426 0.250 x4
Ir 0.000 0.254 0.750 x4

5.
Material: PS
Method: DFT, PBE
State: relaxed

Summary:
Formation energy without anion corrections = 0.28 eV/atom
Total DFT energy (no corrections) = -4.490 eV per atom
Distance to the lowest polymorph of the same formula = 416 meV per atom
Volume = 320.7 Å³ per cell
DOS at the Fermi energy = 6.85 states/eV per cell

Cell lengths 8.137, 8.137, 4.843 Å; angles 90.00, 90.00, 90.00 degrees
Space group P4/m (No. 83)
One atom of each set of equivalent atoms:
P 0.010 0.359 0.000 x4
P 0.295 0.657 0.500 x4
S 0.036 0.696 0.500 x4
S 0.274 0.345 0.000 x4

6.
Material: Dy6Ho12Tl
Method: DFT, PBE
State: relaxed

Summary:
Total DFT energy (no corrections) = -4.379 eV per atom
Volume = 1785.5 Å³ per cell
ΔH_f (0 K) = 0.090 eV/atom
DOS at the Fermi energy = 80.65 states/eV per cell

Cell lengths 11.7672, 11.7672, 14.8893 Å; angles 90.00, 90.00, 120.00 degrees
Space group R-3 (No. 148, hexagonal axes)
One atom of each set of equivalent atoms:
Dy 0.0168 0.4267 0.1852 x18
Ho 0.0006 0.1753 0.3132 x18
Ho 0.0445 0.8496 0.9158 x18
Tl 0.0000 0.0000 0.5000 x3

Look up the volume of the sixth one. 1785.5 Å³ per cell